# Li2ZrMnO, optimized geometry, DFT PBE+U
# total magnetic moment	5.5	μB per cell
# uncorrected energy	-23.8	eV/f.u.
data_Li2ZrMnO
_cell_length_a 5.127
_cell_length_b 5.127
_cell_length_c 3.675
_cell_angle_alpha 90.00
_cell_angle_beta 90.00
_cell_angle_gamma 90.00
_symmetry_space_group_name_H-M 'P 4/m m m'
_symmetry_Int_Tables_number 123
_symmetry_space_group_name_Hall '-P 4 2'
loop_
_atom_site_label
_atom_site_type_symbol
_atom_site_fract_x
_atom_site_fract_y
_atom_site_fract_z
_atom_site_occupancy
Li1 Li 0.000 0.500 0.000 1
Zr1 Zr 0.000 0.000 0.500 1
Mn1 Mn 0.500 0.500 0.000 1
O1 O 0.500 0.500 0.500 1